No. 1
Density functional theory data (PBE-GGA) for a relaxed PaHgBi crystal.

a b c (Å): 8.945 8.945 8.945
angles (deg): 150.89 150.89 41.64
Sites, in units of the cell vectors:
1 Pa 0.142 0.142 0.000
2 Pa 0.858 0.858 0.000
3 Hg 0.000 0.500 0.500
4 Hg 0.500 0.000 0.500
5 Bi 0.334 0.334 0.000
6 Bi 0.666 0.666 0.000

## Properties
Calculated formation energy = -0.193 eV per formula unit
VASP energy = -4.62 eV/atom
Offset from the most stable computed form = 0 meV/atom
Magnetization = 0.6 μB/f.u.

No. 2
Density functional theory data (PBE-GGA) for a relaxed Re2CI4 crystal.

a b c (Å): 7.566 7.566 7.566
angles (deg): 138.27 138.27 60.49
Sites, in units of the cell vectors:
1 Re 0.086 0.086 0.000
2 Re 0.914 0.914 0.000
3 C 0.500 0.500 0.000
4 I 0.000 0.500 0.500
5 I 0.299 0.299 0.000
6 I 0.500 0.000 0.500
7 I 0.701 0.701 0.000

## Properties
VASP energy = -4.12 eV/atom
Uncorrected formation energy = 1.6427 eV per atom
Magnetization = 1.2 μB/f.u.

No. 3
Density functional theory data (PBE-GGA) for a relaxed TbCeZn3 crystal.

a b c (Å): 13.879 13.879 4.580
angles (deg): 90.00 90.00 165.66
Sites, in units of the cell vectors:
1 Tb 0.210 0.790 0.750
2 Tb 0.790 0.210 0.250
3 Ce 0.073 0.927 0.250
4 Ce 0.927 0.073 0.750
5 Zn 0.328 0.672 0.750
6 Zn 0.380 0.620 0.250
7 Zn 0.476 0.524 0.250
8 Zn 0.524 0.476 0.750
9 Zn 0.620 0.380 0.750
10 Zn 0.672 0.328 0.250

## Properties
Calculated formation energy = -1.408 eV per formula unit
VASP energy = -3.16 eV/atom
Magnetization = 1.1 μB/f.u.

No. 4
Density functional theory data (PBE-GGA) for a relaxed SmGa2Hg crystal.

a b c (Å): 6.777 6.777 6.777
angles (deg): 43.56 43.56 43.56
Sites, in units of the cell vectors:
1 Sm 0.000 0.000 0.000
2 Ga 0.357 0.357 0.357
3 Ga 0.643 0.643 0.643
4 Hg 0.500 0.500 0.500

## Properties
Calculated formation energy = 0.446 eV per formula unit
VASP energy = -2.66 eV/atom
Offset from the most stable computed form = 548 meV/atom
Magnetization = 0.0 μB/f.u.

No. 5
Density functional theory data (PBE-GGA) for a relaxed InAsH2 crystal.

a b c (Å): 4.137 4.137 4.137
angles (deg): 60.00 60.00 60.00
Sites, in units of the cell vectors:
1 In 0.000 0.000 0.000
2 As 0.500 0.500 0.500
3 H 0.250 0.250 0.250
4 H 0.750 0.750 0.750

## Properties
VASP energy = -2.80 eV/atom
Offset from the most stable computed form = 355 meV/atom
Magnetization = 0.0 μB/f.u.

No. 6
Density functional theory data (PBE-GGA) for a relaxed RbMn4S8 crystal.

a b c (Å): 9.112 9.112 9.112
angles (deg): 43.13 43.13 43.13
Sites, in units of the cell vectors:
1 Rb 0.000 0.000 0.000
2 Mn 0.000 0.000 0.500
3 Mn 0.000 0.500 0.000
4 Mn 0.500 0.000 0.000
5 Mn 0.500 0.500 0.500
6 S 0.220 0.220 0.220
7 S 0.221 0.719 0.719
8 S 0.281 0.281 0.779
9 S 0.281 0.779 0.281
10 S 0.719 0.221 0.719
11 S 0.719 0.719 0.221
12 S 0.779 0.281 0.281
13 S 0.780 0.780 0.780

## Properties
VASP energy = -6.14 eV/atom
Uncorrected formation energy = -0.7068 eV per atom
Magnetization = 11.0 μB/f.u.